The following is a DFT calculation (PBE) of a relaxed PaB3Ir crystal.

energy of formation from the pure elements = -0.35 eV per atom
ρ = 13.01 g cm⁻³

Cell: 9.515 9.515 3.298 Å, 90.00 90.00 157.07°
Fractional coordinates of all 10 atoms:
Pa  0.076  0.924  0.750
Pa  0.924  0.076  0.250
B  0.321  0.679  0.250
B  0.367  0.633  0.750
B  0.474  0.526  0.750
B  0.526  0.474  0.250
B  0.633  0.367  0.250
B  0.679  0.321  0.750
Ir  0.206  0.794  0.250
Ir  0.794  0.206  0.750